1.
# Y2AgAu

A geometry-optimized Y2AgAu structure (GGA-PBE, Alexandria via LeMat-Bulk).

As for the electronic total energy: -35.3 eV/cell. For the formation energy, the calculation gives 1.42 eV/f.u. Its total magnetization is 0.00 μB/f.u. The value obtained for the density of states at the Fermi level is 3.7 states/eV/f.u.

It has space group Immm (No. 71), with a = 3.2280 Å, b = 5.5523 Å, c = 11.7348 Å, α = 90.00°, β = 90.00° and γ = 90.00°. Symmetry generates all atoms from Y at (0.0000, 0.0000, 0.2414), Ag at (0.0000, 0.0000, 0.5000) and Au at (0.0000, 0.0000, 0.0000).


2.
# Pm6Dy2Ho3Sc

A geometry-optimized Pm6Dy2Ho3Sc structure (GGA-PBE, Alexandria via LeMat-Bulk).

As for the electronic total energy: -115.0 eV/cell. For the formation energy, the calculation gives 0.28 eV/f.u. Its total magnetization is 0.00 μB/f.u. The value obtained for the density of states at the Fermi level is 13.7 states/eV/f.u.

It has space group C2/m (No. 12), with a = 6.2005 Å, b = 10.7374 Å, c = 11.7243 Å, α = 90.00°, β = 100.12° and γ = 90.00°. Symmetry generates all atoms from Pm at (0.2483, 0.0000, 0.2517), Pm at (0.2477, 0.1653, 0.7479), Dy at (0.0000, 0.3333, 0.5000), Ho at (0.0000, 0.1666, 0.0000), Ho at (0.0000, 0.5000, 0.0000) and Sc at (0.0000, 0.0000, 0.5000).


3.
# ZnCo2Si

A geometry-optimized ZnCo2Si structure (GGA-PBE, Alexandria via LeMat-Bulk).

The raw formation energy is -73 kJ/mol of formula units. As for the electronic total energy: -43.3 eV/cell. Its total magnetization is 0.77 μB/f.u. The value obtained for the density of states at the Fermi level is 3.6 states/eV/f.u.

It has space group Cm (No. 8), with a = 8.7830 Å, b = 2.6768 Å, c = 4.1117 Å, α = 90.00°, β = 108.34° and γ = 90.00°. Symmetry generates all atoms from Zn at (0.0000, 0.0000, 0.0000), Co at (0.2503, 0.0000, 0.8797), Co at (0.4972, 0.0000, 0.4939) and Si at (0.2628, 0.5000, 0.3928).


4.
# Ta2TiRh5

A geometry-optimized Ta2TiRh5 structure (GGA-PBE, Alexandria via LeMat-Bulk).

As for the electronic total energy: -146.8 eV/cell. For the formation energy, the calculation gives -5.06 eV/f.u. Its total magnetization is 0.00 μB/f.u. The value obtained for the density of states at the Fermi level is 5.4 states/eV/f.u.

It has space group Pbam (No. 55), with a = 5.4835 Å, b = 10.7751 Å, c = 4.1373 Å, α = 90.00°, β = 90.00° and γ = 90.00°. Symmetry generates all atoms from Ta at (0.1720, 0.1445, 0.0000), Ti at (0.0000, 0.5000, 0.5000), Rh at (0.0000, 0.0000, 0.5000), Rh at (0.0798, 0.7410, 0.5000) and Rh at (0.1879, 0.3944, 0.0000).


5.
# YThCd

A geometry-optimized YThCd structure (GGA-PBE, Alexandria via LeMat-Bulk).

As for the electronic total energy: -14.7 eV/cell. For the formation energy, the calculation gives 0.14 eV/f.u. The value obtained for the energy above the most stable polymorph in this dataset is 0.58 eV per formula unit. Its total magnetization is 0.00 μB/f.u. The value obtained for the density of states at the Fermi level is 3.5 states/eV/f.u.

It has space group P3m1 (No. 156), with a = 5.3487 Å, b = 5.3487 Å, c = 3.5616 Å, α = 90.00°, β = 90.00° and γ = 120.00°. Symmetry generates all atoms from Y at (0.0000, 0.0000, 0.0000), Th at (0.3333, 0.6667, 0.4518) and Cd at (0.6667, 0.3333, 0.8235).


6.
# NaCaLaCd

A geometry-optimized NaCaLaCd structure (GGA-PBE, Alexandria via LeMat-Bulk).

As for the electronic total energy: -38.1 eV/cell. For the formation energy, the calculation gives -0.36 eV/f.u. Its total magnetization is 0.00 μB/f.u. The value obtained for the density of states at the Fermi level is 3.4 states/eV/f.u.

It has space group F-43m (No. 216), with a = 7.9668 Å, b = 7.9668 Å, c = 7.9668 Å, α = 90.00°, β = 90.00° and γ = 90.00°. Symmetry generates all atoms from Na at (0.0000, 0.0000, 0.0000), Ca at (0.2500, 0.2500, 0.7500), La at (0.2500, 0.2500, 0.2500) and Cd at (0.0000, 0.0000, 0.5000).